Below is an optimized crystal structure of ReTcPt2, with properties calculated at the GGA-PBE level.

Cell: 3.8473 3.8473 4.0585 Å, 90.00 90.00 90.00°
Closest atoms and distances in Å follow each position.
Element x y z (fractional)
Pt1 0.5000 0.5000 0.0000  4 Pt 2.72, 4 Re 2.80, 4 Tc 2.80
Pt2 0.0000 0.0000 0.0000  4 Pt 2.72, 4 Tc 2.80, 4 Re 2.80
Tc1 0.0000 0.5000 0.5000  4 Re 2.72, 8 Pt 2.80
Re1 0.5000 0.0000 0.5000  4 Tc 2.72, 8 Pt 2.80

Values from the calculation:
E above lowest polymorph: 0.098 eV/atom
size of the total moment: 0.0 μB/f.u.
VASP energy: -35.1 eV per cell
volume: 60.1 Å³ per cell
ΔH_f (0 K): -0.039 eV per atom